Entry 1:
Here is a relaxed structure of Lu2Ta4Ni3C3 from OQMD. Energies are from PBE.

As for the electronic total energy: -0.32723 hartree per atom. The value obtained for the magnetic moment is 0.0 Bohr magnetons per cell.

Cell: 5.4535 5.4535 13.6877 Å, 101.93 101.93 60.00°
Sites, in units of the cell vectors:
C (0.1594, 0.6701, 0.0000)
C (0.3299, 0.8406, 0.5000)
C (0.5000, 0.0000, 0.0000)
C (0.8406, 0.3299, 0.0000)
C (0.6701, 0.1594, 0.5000)
C (0.0000, 0.5000, 0.5000)
Ta (0.3041, 0.1439, 0.4118)
Ta (0.8561, 0.6959, 0.0882)
Ta (0.1439, 0.3041, 0.9118)
Ta (0.7955, 0.9785, 0.9116)
Ta (0.6959, 0.8561, 0.5882)
Ta (0.9785, 0.7955, 0.4116)
Ta (0.2045, 0.0215, 0.0884)
Ta (0.0215, 0.2045, 0.5884)
Ni (0.0974, 0.4131, 0.2500)
Ni (0.5869, 0.9026, 0.2500)
Ni (0.0794, 0.9206, 0.2500)
Ni (0.4131, 0.0974, 0.7500)
Ni (0.9206, 0.0794, 0.7500)
Ni (0.9026, 0.5869, 0.7500)
Lu (0.5430, 0.3791, 0.1232)
Lu (0.6209, 0.4570, 0.3768)
Lu (0.4570, 0.6209, 0.8768)
Lu (0.3791, 0.5430, 0.6232)



Entry 2:
Here is a relaxed structure of Lu4Ta2Ni3C3 from OQMD. Energies are from PBE.

As for the electronic total energy: -0.26964 hartree per atom. The value obtained for the magnetic moment is 0.0 Bohr magnetons per cell.

Cell: 5.6734 5.6734 14.4223 Å, 100.65 100.65 60.29°
Sites, in units of the cell vectors:
Ta (0.4746, 0.6530, 0.9177)
Ta (0.5254, 0.3470, 0.0823)
Ta (0.3470, 0.5254, 0.5823)
Ta (0.6530, 0.4746, 0.4177)
Lu (0.3023, 0.1238, 0.4002)
Lu (0.8762, 0.6977, 0.0998)
Lu (0.6977, 0.8762, 0.5998)
Lu (0.9570, 0.8135, 0.4005)
Lu (0.8135, 0.9570, 0.9005)
Lu (0.0430, 0.1865, 0.5995)
Lu (0.1238, 0.3023, 0.9002)
Lu (0.1865, 0.0430, 0.0995)
C (0.3531, 0.7938, 0.5000)
C (0.2062, 0.6469, 0.0000)
C (0.7938, 0.3531, 0.0000)
C (0.5000, 0.0000, 0.0000)
C (0.6469, 0.2062, 0.5000)
C (0.0000, 0.5000, 0.5000)
Ni (0.8952, 0.5804, 0.7490)
Ni (0.1048, 0.4196, 0.2510)
Ni (0.5804, 0.8952, 0.2490)
Ni (0.9323, 0.0677, 0.7500)
Ni (0.0677, 0.9323, 0.2500)
Ni (0.4196, 0.1048, 0.7510)